## Pm2Y4Te3H2 (PBE)

Data for a geometry-optimized Pm2Y4Te3H2 structure.

Values from the calculation:
Total DFT energy (no corrections) ... -5.453 eV/atom
Crystal system ... tetragonal
Fermi-level density of states ... 0.741 states/eV per atom

abc: 4.496 4.496 26.471
angles: 90.00 90.00 90.00
Space group I4/mmm (No. 139)
Asymmetric unit:
Pm 0.000 0.000 0.207 x4
Y 0.000 0.500 0.084 x8
Te 0.000 0.000 0.329 x4
Te 0.000 0.000 0.500 x2
H 0.000 0.000 0.068 x4

## BeInP2 (PBE)

Data for a geometry-optimized BeInP2 structure.

Values from the calculation:
Total DFT energy (no corrections) ... -4.055 eV/atom
Crystal system ... tetragonal
Fermi-level density of states ... 0.259 states/eV per atom
Energy relative to the elements ... 103 kJ/mol of formula units

abc: 3.152 3.152 7.072
angles: 90.00 90.00 90.00
Space group P4/mmm (No. 123)
Asymmetric unit:
Be 0.000 0.000 0.000 x1
In 0.000 0.000 0.500 x1
P 0.500 0.500 0.151 x2

## Ga2SiMo (PBE)

Data for a geometry-optimized Ga2SiMo structure.

Values from the calculation:
Total DFT energy (no corrections) ... -5.144 eV/atom
Crystal system ... tetragonal
Uncorrected formation energy ... 433 meV per atom
Fermi-level density of states ... 0.380 states/eV per atom

abc: 7.237 7.237 5.090
angles: 90.00 90.00 90.00
Space group I-42d (No. 122)
Asymmetric unit:
Ga 0.236 0.250 0.125 x8
Si 0.000 0.000 0.000 x4
Mo 0.000 0.000 0.500 x4

## YTa2Cu (PBE)

Data for a geometry-optimized YTa2Cu structure.

Values from the calculation:
Total DFT energy (no corrections) ... -8.179 eV/atom
Crystal system ... trigonal
Polymorph energy (0 for the lowest one) ... 0.202 eV per atom
Fermi-level density of states ... 1.000 states/eV per atom
Energy relative to the elements ... 149 kJ/mol of formula units

abc: 3.1420 3.1420 27.9117
angles: 90.00 90.00 120.00
Space group R3m (No. 160, hexagonal axes)
Asymmetric unit:
Y 0.0000 0.0000 0.0000 x3
Ta 0.0000 0.0000 0.2385 x3
Ta 0.0000 0.0000 0.4912 x3
Cu 0.0000 0.0000 0.7537 x3

## FeCuSn2 (PBE)

Data for a geometry-optimized FeCuSn2 structure.

Values from the calculation:
Total DFT energy (no corrections) ... -4.815 eV/atom
Crystal system ... trigonal
Polymorph energy (0 for the lowest one) ... 0.000 eV per atom
Fermi-level density of states ... 0.686 states/eV per atom
Energy relative to the elements ... 126 kJ/mol of formula units

abc: 3.2045 3.2045 26.9164
angles: 90.00 90.00 120.00
Space group R-3m (No. 166, hexagonal axes)
Asymmetric unit:
Fe 0.0000 0.0000 0.0000 x3
Cu 0.0000 0.0000 0.5000 x3
Sn 0.0000 0.0000 0.4058 x6

## SmHo2Sc3As6 (PBE)

Data for a geometry-optimized SmHo2Sc3As6 structure.

Values from the calculation:
Total DFT energy (no corrections) ... -6.500 eV/atom
Crystal system ... monoclinic
Fermi-level density of states ... 0.175 states/eV per atom
Energy relative to the elements ... -1662 kJ/mol of formula units

abc: 6.958 12.051 6.932
angles: 90.00 109.53 90.00
Space group C2/m (No. 12)
Asymmetric unit:
Sm 0.000 0.000 0.000 x2
Ho 0.000 0.333 0.000 x4
Sc 0.000 0.165 0.500 x4
Sc 0.000 0.500 0.500 x2
As 0.242 0.331 0.734 x8
As 0.249 0.000 0.734 x4

## Ac6Te3PSe2 (PBE)

Data for a geometry-optimized Ac6Te3PSe2 structure.

Values from the calculation:
Total DFT energy (no corrections) ... -5.528 eV/atom
Crystal system ... monoclinic
Uncorrected formation energy ... -1657 meV per atom
Fermi-level density of states ... 0.487 states/eV per atom

abc: 7.890 13.662 8.097
angles: 90.00 108.93 90.00
Space group C2/m (No. 12)
Asymmetric unit:
Ac 0.235 0.161 0.220 x8
Ac 0.248 0.000 0.778 x4
Te 0.000 0.170 0.500 x4
Te 0.000 0.500 0.500 x2
P 0.000 0.000 0.000 x2
Se 0.000 0.334 0.000 x4

## Ca4NpTa3N8 (PBE)

Data for a geometry-optimized Ca4NpTa3N8 structure.

Values from the calculation:
Total DFT energy (no corrections) ... -8.912 eV/atom
Crystal system ... trigonal
Uncorrected formation energy ... -1218 meV per atom
Fermi-level density of states ... 0.516 states/eV per atom

abc: 6.5058 6.5058 16.7681
angles: 90.00 90.00 120.00
Space group R-3m (No. 166, hexagonal axes)
Asymmetric unit:
Ca 0.0000 0.0000 0.0000 x3
Ca 0.0000 0.5000 0.0000 x9
Np 0.0000 0.0000 0.5000 x3
Ta 0.0000 0.5000 0.5000 x9
N 0.0000 0.0000 0.2373 x6
N 0.0109 0.5055 0.7627 x18

## Cd2B2Au (PBE)

Data for a geometry-optimized Cd2B2Au structure.

Values from the calculation:
Total DFT energy (no corrections) ... -2.452 eV/atom
Crystal system ... tetragonal
Polymorph energy (0 for the lowest one) ... 0.557 eV per atom
Fermi-level density of states ... 0.242 states/eV per atom
Energy relative to the elements ... 598 kJ/mol of formula units

abc: 7.408 7.408 2.916
angles: 90.00 90.00 90.00
Space group P4/mbm (No. 127)
Asymmetric unit:
Cd 0.138 0.362 0.000 x4
B 0.168 0.668 0.500 x4
Au 0.000 0.000 0.000 x2

## TcNiBr2 (PBE)

Data for a geometry-optimized TcNiBr2 structure.

Values from the calculation:
Total DFT energy (no corrections) ... -3.749 eV/atom
Crystal system ... cubic
Polymorph energy (0 for the lowest one) ... 0.961 eV per atom
Uncorrected formation energy ... 1124 meV per atom
Fermi-level density of states ... 0.994 states/eV per atom

abc: 6.763 6.763 6.763
angles: 90.00 90.00 90.00
Space group F-43m (No. 216)
Asymmetric unit:
Tc 0.000 0.000 0.000 x4
Ni 0.250 0.250 0.250 x4
Br 0.000 0.000 0.500 x4
Br 0.250 0.250 0.750 x4

## AcNdMgGe (PBE)

Data for a geometry-optimized AcNdMgGe structure.

Values from the calculation:
Total DFT energy (no corrections) ... -4.073 eV/atom
Crystal system ... cubic
Fermi-level density of states ... 0.891 states/eV per atom
Energy relative to the elements ... -116 kJ/mol of formula units

abc: 7.740 7.740 7.740
angles: 90.00 90.00 90.00
Space group F-43m (No. 216)
Asymmetric unit:
Ac 0.000 0.000 0.000 x4
Nd 0.000 0.000 0.500 x4
Mg 0.250 0.250 0.250 x4
Ge 0.250 0.250 0.750 x4

| no. | volume (A^3/atom) |
| --- | --- |
| 1 | 24.325 |
| 2 | 17.566 |
| 3 | 16.661 |
| 4 | 19.885 |
| 5 | 19.947 |
| 6 | 22.825 |
| 7 | 34.399 |
| 8 | 12.805 |
| 9 | 16.002 |
| 10 | 19.337 |
| 11 | 28.980 |